P | # FePPd3 | Alexandria via LeMat-Bulk | PBE-GGA | optimized geometry
data_FePPd3
_chemical_formula_sum 'Fe1 P1 Pd3'
_symmetry_space_group_name_H-M 'P m -3 m'
_symmetry_Int_Tables_number 221
_symmetry_space_group_name_Hall '-P 4 2 3'
_cell_length_a 4.4525
_cell_length_b 4.4525
_cell_length_c 4.4525
_cell_angle_alpha 90.00
_cell_angle_beta 90.00
_cell_angle_gamma 90.00
loop_
_atom_site_label
_atom_site_type_symbol
_atom_site_fract_x
_atom_site_fract_y
_atom_site_fract_z
Fe1 Fe 0.0000 0.0000 0.0000
P1 P 0.5000 0.5000 0.5000
Pd1 Pd 0.0000 0.5000 0.5000
# Total moment = 3.53 μB per cell
# N(E_F) = 1.372 states/eV/atom



Q | # FePPd3 | Alexandria via LeMat-Bulk | PBE-GGA | optimized geometry
data_FePPd3
_chemical_formula_sum 'Fe1 P1 Pd3'
_symmetry_space_group_name_H-M 'P m -3 m'
_symmetry_Int_Tables_number 221
_symmetry_space_group_name_Hall '-P 4 2 3'
_cell_length_a 4.5841
_cell_length_b 4.5841
_cell_length_c 4.5841
_cell_angle_alpha 90.00
_cell_angle_beta 90.00
_cell_angle_gamma 90.00
loop_
_atom_site_label
_atom_site_type_symbol
_atom_site_fract_x
_atom_site_fract_y
_atom_site_fract_z
Fe1 Fe 0.0000 0.0000 0.0000
P1 P 0.5000 0.5000 0.5000
Pd1 Pd 0.0000 0.0000 0.5000
# Total moment = 4.30 μB per cell
# N(E_F) = 0.909 states/eV/atom



Which is the most stable structure? P is the most stable.



P | # PmFeP | Alexandria via LeMat-Bulk | PBE-GGA | optimized geometry
data_PmFeP
_chemical_formula_sum 'Pm1 Fe1 P1'
_symmetry_space_group_name_H-M 'P -6 m 2'
_symmetry_Int_Tables_number 187
_symmetry_space_group_name_Hall 'P -6 2'
_cell_length_a 3.9787
_cell_length_b 3.9787
_cell_length_c 4.0568
_cell_angle_alpha 90.00
_cell_angle_beta 90.00
_cell_angle_gamma 120.00
loop_
_atom_site_label
_atom_site_type_symbol
_atom_site_fract_x
_atom_site_fract_y
_atom_site_fract_z
Pm1 Pm 0.0000 0.0000 0.0000
Fe1 Fe 0.6667 0.3333 0.5000
P1 P 0.3333 0.6667 0.5000
# Total moment = 1.80 μB per cell
# N(E_F) = 0.594 states/eV/atom



Q | # PmFeP | Alexandria via LeMat-Bulk | PBE-GGA | optimized geometry
data_PmFeP
_chemical_formula_sum 'Pm4 Fe4 P4'
_symmetry_space_group_name_H-M 'C 1 2/m 1'
_symmetry_Int_Tables_number 12
_cell_length_a 9.6467
_cell_length_b 4.1099
_cell_length_c 6.0323
_cell_angle_alpha 90.00
_cell_angle_beta 99.59
_cell_angle_gamma 90.00
loop_
_symmetry_equiv_pos_as_xyz
'x,y,z'
'-x,-y,-z'
'-x,y,-z'
'x,-y,z'
'x+1/2,y+1/2,z'
'-x+1/2,-y+1/2,-z'
'-x+1/2,y+1/2,-z'
'x+1/2,-y+1/2,z'
loop_
_atom_site_label
_atom_site_type_symbol
_atom_site_fract_x
_atom_site_fract_y
_atom_site_fract_z
Pm1 Pm 0.1213 0.0000 0.2898
Fe1 Fe 0.1172 0.5000 0.9335
P1 P 0.1769 0.0000 0.7945
# Total moment = 7.64 μB per cell
# N(E_F) = 0.875 states/eV/atom



Which is the most stable structure? P is the most stable.



P | # Pm2FeP | Alexandria via LeMat-Bulk | PBE-GGA | optimized geometry
data_Pm2FeP
_chemical_formula_sum 'Pm2 Fe1 P1'
_symmetry_space_group_name_H-M 'P 4/m m m'
_symmetry_Int_Tables_number 123
_symmetry_space_group_name_Hall '-P 4 2'
_cell_length_a 4.8683
_cell_length_b 4.8683
_cell_length_c 3.6750
_cell_angle_alpha 90.00
_cell_angle_beta 90.00
_cell_angle_gamma 90.00
loop_
_atom_site_label
_atom_site_type_symbol
_atom_site_fract_x
_atom_site_fract_y
_atom_site_fract_z
Pm1 Pm 0.0000 0.5000 0.0000
Fe1 Fe 0.0000 0.0000 0.5000
P1 P 0.5000 0.5000 0.5000
# Total moment = 1.45 μB per cell
# N(E_F) = 0.953 states/eV/atom



Q | # Pm2FeP | Alexandria via LeMat-Bulk | PBE-GGA | optimized geometry
data_Pm2FeP
_chemical_formula_sum 'Pm8 Fe4 P4'
_symmetry_space_group_name_H-M 'F m -3 m'
_symmetry_Int_Tables_number 225
_symmetry_space_group_name_Hall '-F 4 2 3'
_cell_length_a 7.0464
_cell_length_b 7.0464
_cell_length_c 7.0464
_cell_angle_alpha 90.00
_cell_angle_beta 90.00
_cell_angle_gamma 90.00
loop_
_atom_site_label
_atom_site_type_symbol
_atom_site_fract_x
_atom_site_fract_y
_atom_site_fract_z
Pm1 Pm 0.2500 0.2500 0.2500
Fe1 Fe 0.0000 0.0000 0.0000
P1 P 0.0000 0.0000 0.5000
# Total moment = 4.95 μB per cell
# N(E_F) = 0.686 states/eV/atom



Which is the most stable structure? P is the most stable.



P | # FeP2Pt | Alexandria via LeMat-Bulk | PBE-GGA | optimized geometry
data_FeP2Pt
_chemical_formula_sum 'Fe1 P2 Pt1'
_symmetry_space_group_name_H-M 'P 4 m m'
_symmetry_Int_Tables_number 99
_cell_length_a 3.3079
_cell_length_b 3.3079
_cell_length_c 4.8568
_cell_angle_alpha 90.00
_cell_angle_beta 90.00
_cell_angle_gamma 90.00
loop_
_symmetry_equiv_pos_as_xyz
'x,y,z'
'-y,x,z'
'-x,-y,z'
'y,-x,z'
'-x,y,z'
'y,x,z'
'x,-y,z'
'-y,-x,z'
loop_
_atom_site_label
_atom_site_type_symbol
_atom_site_fract_x
_atom_site_fract_y
_atom_site_fract_z
Fe1 Fe 0.0000 0.0000 0.0000
P1 P 0.0000 0.0000 0.4869
P2 P 0.5000 0.5000 0.1248
Pt1 Pt 0.5000 0.5000 0.6361
# Total moment = 0.17 μB per cell
# N(E_F) = 0.707 states/eV/atom



Q | # FeP2Pt | Alexandria via LeMat-Bulk | PBE-GGA | optimized geometry
data_FeP2Pt
_chemical_formula_sum 'Fe1 P2 Pt1'
_symmetry_space_group_name_H-M 'P 4/m m m'
_symmetry_Int_Tables_number 123
_symmetry_space_group_name_Hall '-P 4 2'
_cell_length_a 2.9875
_cell_length_b 2.9875
_cell_length_c 5.8812
_cell_angle_alpha 90.00
_cell_angle_beta 90.00
_cell_angle_gamma 90.00
loop_
_atom_site_label
_atom_site_type_symbol
_atom_site_fract_x
_atom_site_fract_y
_atom_site_fract_z
Fe1 Fe 0.0000 0.0000 0.0000
P1 P 0.5000 0.5000 0.2210
Pt1 Pt 0.0000 0.0000 0.5000
# Total moment = 1.56 μB per cell
# N(E_F) = 0.679 states/eV/atom



R | # FeP2Pt | Alexandria via LeMat-Bulk | PBE-GGA | optimized geometry
data_FeP2Pt
_chemical_formula_sum 'Fe2 P4 Pt2'
_symmetry_space_group_name_H-M 'C 1 2/m 1'
_symmetry_Int_Tables_number 12
_cell_length_a 7.2849
_cell_length_b 2.9680
_cell_length_c 4.9779
_cell_angle_alpha 90.00
_cell_angle_beta 102.50
_cell_angle_gamma 90.00
loop_
_symmetry_equiv_pos_as_xyz
'x,y,z'
'-x,-y,-z'
'-x,y,-z'
'x,-y,z'
'x+1/2,y+1/2,z'
'-x+1/2,-y+1/2,-z'
'-x+1/2,y+1/2,-z'
'x+1/2,-y+1/2,z'
loop_
_atom_site_label
_atom_site_type_symbol
_atom_site_fract_x
_atom_site_fract_y
_atom_site_fract_z
Fe1 Fe 0.0000 0.0000 0.0000
P1 P 0.2390 0.5000 0.2099
Pt1 Pt 0.0000 0.5000 0.5000
# Total moment = 2.19 μB per cell
# N(E_F) = 0.735 states/eV/atom



S | # FeP2Pt | Alexandria via LeMat-Bulk | PBE-GGA | optimized geometry
data_FeP2Pt
_chemical_formula_sum 'Fe1 P2 Pt1'
_symmetry_space_group_name_H-M 'P 1 2/m 1'
_symmetry_Int_Tables_number 10
_cell_length_a 4.0124
_cell_length_b 3.7371
_cell_length_c 4.1585
_cell_angle_alpha 90.00
_cell_angle_beta 98.19
_cell_angle_gamma 90.00
loop_
_symmetry_equiv_pos_as_xyz
'x,y,z'
'-x,-y,-z'
'-x,y,-z'
'x,-y,z'
loop_
_atom_site_label
_atom_site_type_symbol
_atom_site_fract_x
_atom_site_fract_y
_atom_site_fract_z
Fe1 Fe 0.0000 0.0000 0.0000
P1 P 0.3054 0.5000 0.1565
Pt1 Pt 0.5000 0.0000 0.5000
# Total moment = 1.60 μB per cell
# N(E_F) = 0.805 states/eV/atom



Which is the most stable structure? P is the most stable.



P | # FeP2Pt | Alexandria via LeMat-Bulk | PBE-GGA | optimized geometry
data_FeP2Pt
_chemical_formula_sum 'Fe4 P8 Pt4'
_symmetry_space_group_name_H-M 'F -4 3 m'
_symmetry_Int_Tables_number 216
_symmetry_space_group_name_Hall 'F -4 2 3'
_cell_length_a 6.1043
_cell_length_b 6.1043
_cell_length_c 6.1043
_cell_angle_alpha 90.00
_cell_angle_beta 90.00
_cell_angle_gamma 90.00
loop_
_atom_site_label
_atom_site_type_symbol
_atom_site_fract_x
_atom_site_fract_y
_atom_site_fract_z
Fe1 Fe 0.0000 0.0000 0.0000
P1 P 0.0000 0.0000 0.5000
P2 P 0.2500 0.2500 0.7500
Pt1 Pt 0.2500 0.2500 0.2500
# Total moment = 10.36 μB per cell
# N(E_F) = 1.178 states/eV/atom



Q | # FeP2Pt | Alexandria via LeMat-Bulk | PBE-GGA | optimized geometry
data_FeP2Pt
_chemical_formula_sum 'Fe2 P4 Pt2'
_symmetry_space_group_name_H-M 'C 1 m 1'
_symmetry_Int_Tables_number 8
_cell_length_a 6.6579
_cell_length_b 3.2985
_cell_length_c 5.1024
_cell_angle_alpha 90.00
_cell_angle_beta 92.39
_cell_angle_gamma 90.00
loop_
_symmetry_equiv_pos_as_xyz
'x,y,z'
'x,-y,z'
'x+1/2,y+1/2,z'
'x+1/2,-y+1/2,z'
loop_
_atom_site_label
_atom_site_type_symbol
_atom_site_fract_x
_atom_site_fract_y
_atom_site_fract_z
Fe1 Fe 0.0000 0.0000 0.0000
P1 P 0.2010 0.5000 0.8037
P2 P 0.3377 0.0000 0.1920
Pt1 Pt 0.0845 0.0000 0.5004
# Total moment = 0.00 μB per cell
# N(E_F) = 0.590 states/eV/atom



Which is the most stable structure? Q is the most stable.